(1)
{"formula": "ZnAgAs2Br", "functional": "PBE", "state": "relaxed", "lattice_angstrom": [[5.059, 0.000, 0.000], [0.000, 5.059, 0.000], [0.000, 0.000, 5.414]], "species": ["Br", "As", "As", "Ag", "Zn"], "frac_coords": [[0.000, 0.000, 0.500], [0.500, 0.000, 0.000], [0.000, 0.500, 0.000], [0.000, 0.000, 0.000], [0.500, 0.500, 0.500]], "sg": "No. 123", "relative_energy_mev_per_atom": 176, "raw_formation_energy_ev_per_atom": 0.767}


(2)
{"formula": "K6Rb3Tl", "functional": "PBE", "state": "relaxed", "lattice_angstrom": [[-4.520, 1.991, -1.104], [-0.203, -7.447, -12.598], [-8.545, -12.369, 12.675]], "species": ["Rb", "Rb", "Rb", "Rb", "Rb", "Rb", "K", "K", "K", "K", "K", "K", "K", "K", "K", "K", "K", "K", "Tl", "Tl"], "frac_coords": [[0.250, 0.252, 0.701], [0.750, 0.566, 0.790], [0.750, 0.748, 0.299], [0.750, 0.099, 0.845], [0.250, 0.434, 0.210], [0.250, 0.901, 0.155], [0.250, 0.144, 0.050], [0.750, 0.496, 0.412], [0.250, 0.383, 0.939], [0.750, 0.856, 0.950], [0.750, 0.967, 0.602], [0.250, 0.819, 0.740], [0.750, 0.181, 0.260], [0.250, 0.747, 0.494], [0.750, 0.617, 0.061], [0.250, 0.033, 0.398], [0.750, 0.253, 0.506], [0.250, 0.504, 0.588], [0.750, 0.696, 0.617], [0.250, 0.304, 0.383]], "sg": "No. 11", "delta_e_f_ev_per_atom": 0.004}


(3)
{"formula": "Sn3SbPb12", "functional": "PBE", "state": "relaxed", "lattice_angstrom": [[-2.262, 4.230, 3.572], [-2.915, -4.191, 3.116], [10.804, -1.290, 8.369]], "species": ["Pb", "Pb", "Pb", "Pb", "Pb", "Pb", "Pb", "Pb", "Pb", "Pb", "Pb", "Pb", "Sn", "Sn", "Sn", "Sb"], "frac_coords": [[0.500, 0.500, 0.250], [0.500, 0.000, 0.624], [0.500, 0.500, 0.750], [0.000, 0.500, 0.376], [0.500, 0.000, 0.876], [0.000, 0.500, 0.124], [0.000, 0.500, 0.876], [0.000, 0.500, 0.624], [0.500, 0.500, 0.000], [0.500, 0.500, 0.500], [0.500, 0.000, 0.376], [0.500, 0.000, 0.124], [0.000, 0.000, 0.252], [0.000, 0.000, 0.748], [0.000, 0.000, 0.500], [0.000, 0.000, 0.000]], "sg": "No. 123", "raw_formation_energy_ev_per_atom": 0.035}


no.,total energy (Ry/atom)
1,-0.16557
2,-0.08684
3,-0.27592